1.
Entry from Alexandria: a relaxed structure of LiSm4Se5 (PBE).

Computed properties:
Crystal system   tetragonal
Excess energy over the best structure of this formula in the dataset   0.000 eV/atom

Cell: 9.2572 9.2572 5.8550 Å, 90.00 90.00 90.00°
Space group I4 (No. 79)
Inequivalent atoms, fractional coordinates:
1 Li 0.0000 0.0000 0.0000 x2
2 Sm 0.0995 0.6999 0.4941 x8
3 Se 0.0000 0.0000 0.4941 x2
4 Se 0.0954 0.7103 0.9940 x8


2.
Entry from Alexandria: a relaxed structure of LiSm2Se3 (PBE).

Computed properties:
Crystal system   orthorhombic

Cell: 4.1101 5.8583 12.3364 Å, 90.00 90.00 90.00°
Space group Immm (No. 71)
Inequivalent atoms, fractional coordinates:
1 Li 0.0000 0.0000 0.0000 x2
2 Sm 0.0000 0.0000 0.3333 x4
3 Se 0.0000 0.5000 0.0000 x2
4 Se 0.0000 0.5000 0.3410 x4


3.
Entry from Alexandria: a relaxed structure of LiSm4Se5 (PBE).

Computed properties:
Crystal system   trigonal
Excess energy over the best structure of this formula in the dataset   0.018 eV/atom

Cell: 4.1526 4.1526 50.4745 Å, 90.00 90.00 120.00°
Space group R-3m (No. 166, hexagonal axes)
Inequivalent atoms, fractional coordinates:
1 Li 0.0000 0.0000 0.0000 x3
2 Sm 0.0000 0.0000 0.2009 x6
3 Sm 0.0000 0.0000 0.3975 x6
4 Se 0.0000 0.0000 0.0984 x6
5 Se 0.0000 0.0000 0.3022 x6
6 Se 0.0000 0.0000 0.5000 x3


4.
Entry from Alexandria: a relaxed structure of Li2Sm3Se4 (PBE).

Computed properties:
Crystal system   monoclinic

Cell: 13.8303 4.0870 10.5265 Å, 90.00 127.75 90.00°
Space group C2/m (No. 12)
Inequivalent atoms, fractional coordinates:
1 Li 0.1631 0.0000 0.3708 x4
2 Sm 0.0000 0.5000 0.0000 x2
3 Sm 0.1984 0.5000 0.8240 x4
4 Se 0.0654 0.0000 0.8602 x4
5 Se 0.2462 0.0000 0.6684 x4


5.
Entry from Alexandria: a relaxed structure of Li5SmSe4 (PBE).

Computed properties:
Crystal system   orthorhombic

Cell: 4.1381 7.5286 14.1100 Å, 90.00 90.00 90.00°
Space group Immm (No. 71)
Inequivalent atoms, fractional coordinates:
1 Li 0.0000 0.0000 0.0000 x2
2 Li 0.0000 0.2078 0.3209 x8
3 Sm 0.0000 0.5000 0.0000 x2
4 Se 0.0000 0.2690 0.5000 x4
5 Se 0.0000 0.5000 0.2126 x4


6.
Entry from Alexandria: a relaxed structure of Li3Sm5Se8 (PBE).

Computed properties:
Crystal system   trigonal

Cell: 8.2606 8.2606 20.0271 Å, 90.00 90.00 120.00°
Space group R-3m (No. 166, hexagonal axes)
Inequivalent atoms, fractional coordinates:
1 Li 0.0000 0.5000 0.0000 x9
2 Sm 0.0000 0.0000 0.0000 x3
3 Sm 0.0000 0.0000 0.5000 x3
4 Sm 0.0000 0.5000 0.5000 x9
5 Se 0.0000 0.0000 0.2525 x6
6 Se 0.0059 0.5029 0.2530 x18


7.
Entry from Alexandria: a relaxed structure of LiSm4Se7 (PBE).

Computed properties:
Crystal system   monoclinic

Cell: 13.4641 4.0571 12.1377 Å, 90.00 105.38 90.00°
Space group Cm (No. 8)
Inequivalent atoms, fractional coordinates:
1 Li 0.0000 0.0000 0.0000 x2
2 Sm 0.1081 0.0000 0.4213 x2
3 Sm 0.2381 0.0000 0.8670 x2
4 Sm 0.3013 0.5000 0.2100 x2
5 Sm 0.4160 0.0000 0.6234 x2
6 Se 0.0769 0.0000 0.6482 x2
7 Se 0.1291 0.5000 0.9544 x2
8 Se 0.1456 0.0000 0.2024 x2
9 Se 0.2708 0.5000 0.4765 x2
10 Se 0.3610 0.5000 0.7835 x2
11 Se 0.3887 0.0000 0.0815 x2
12 Se 0.4470 0.0000 0.3757 x2


8.
Entry from Alexandria: a relaxed structure of LiSm2Se (PBE).

Computed properties:
Crystal system   trigonal

Cell: 3.8551 3.8551 30.7971 Å, 90.00 90.00 120.00°
Space group R-3m (No. 166, hexagonal axes)
Inequivalent atoms, fractional coordinates:
1 Li 0.0000 0.0000 0.0000 x3
2 Sm 0.0000 0.0000 0.1086 x6
3 Se 0.0000 0.0000 0.5000 x3


9.
Entry from Alexandria: a relaxed structure of LiSm2SnSe4 (PBE).

Computed properties:
Crystal system   orthorhombic

Cell: 8.3663 8.4174 11.8086 Å, 90.00 90.00 90.00°
Space group Imma (No. 74)
Inequivalent atoms, fractional coordinates:
1 Li 0.0000 0.0000 0.0000 x4
2 Sm 0.0000 0.0000 0.5000 x4
3 Sm 0.2500 0.2500 0.2500 x4
4 Sn 0.2500 0.2500 0.7500 x4
5 Se 0.0000 0.0037 0.2458 x8
6 Se 0.2472 0.2500 0.0020 x8


10.
Entry from Alexandria: a relaxed structure of LiSm2Sn3Se6 (PBE).

Computed properties:
Crystal system   monoclinic

Cell: 18.5480 4.3333 8.4225 Å, 90.00 105.17 90.00°
Space group C2/m (No. 12)
Inequivalent atoms, fractional coordinates:
1 Li 0.0000 0.0000 0.0000 x2
2 Sm 0.1643 0.5000 0.3268 x4
3 Sn 0.0000 0.0000 0.5000 x2
4 Sn 0.1591 0.5000 0.8561 x4
5 Se 0.0033 0.5000 0.2424 x4
6 Se 0.1637 0.0000 0.0842 x4
7 Se 0.1696 0.0000 0.5714 x4


11.
Entry from Alexandria: a relaxed structure of LiSmSnSe3 (PBE).

Computed properties:
Crystal system   monoclinic

Cell: 8.8267 4.0155 9.1137 Å, 90.00 98.67 90.00°
Space group P2_1/m (No. 11)
Inequivalent atoms, fractional coordinates:
1 Li 0.0966 0.2500 0.0872 x2
2 Sm 0.1613 0.2500 0.7157 x2
3 Sn 0.3442 0.7500 0.3348 x2
4 Se 0.0979 0.2500 0.3740 x2
5 Se 0.1972 0.7500 0.9595 x2
6 Se 0.3930 0.7500 0.6434 x2


12.
Entry from Alexandria: a relaxed structure of Li2SmSn3Se6 (PBE).

Computed properties:
Crystal system   monoclinic

Cell: 7.1226 12.3582 7.3222 Å, 90.00 108.80 90.00°
Space group C2/m (No. 12)
Inequivalent atoms, fractional coordinates:
1 Li 0.0000 0.1723 0.0000 x4
2 Sm 0.0000 0.5000 0.0000 x2
3 Sn 0.0000 0.0000 0.5000 x2
4 Sn 0.0000 0.3358 0.5000 x4
5 Se 0.2482 0.0000 0.2440 x4
6 Se 0.2476 0.3331 0.2375 x8


13.
Entry from Alexandria: a relaxed structure of Sr2LiSmSe4 (PBE).

Computed properties:
Crystal system   monoclinic

Cell: 7.3870 4.3170 7.4113 Å, 90.00 108.89 90.00°
Space group P2/m (No. 10)
Inequivalent atoms, fractional coordinates:
1 Sr 0.0000 0.0000 0.0000 x1
2 Sr 0.5000 0.5000 0.0000 x1
3 Li 0.0000 0.5000 0.5000 x1
4 Sm 0.5000 0.0000 0.5000 x1
5 Se 0.2482 0.0000 0.7328 x2
6 Se 0.2553 0.5000 0.2700 x2


14.
Entry from Alexandria: a relaxed structure of Sr3LiSm2Se6 (PBE).

Computed properties:
Crystal system   monoclinic

Cell: 7.4138 12.8382 7.4566 Å, 90.00 109.33 90.00°
Space group C2/m (No. 12)
Inequivalent atoms, fractional coordinates:
1 Sr 0.0000 0.0000 0.0000 x2
2 Sr 0.0000 0.3343 0.0000 x4
3 Li 0.0000 0.5000 0.5000 x2
4 Sm 0.0000 0.1668 0.5000 x4
5 Se 0.2441 0.3335 0.7327 x8
6 Se 0.2445 0.0000 0.7317 x4


15.
Entry from Alexandria: a relaxed structure of Li3Sm3TaSe8 (PBE).

Computed properties:
Crystal system   trigonal

Cell: 8.1159 8.1159 19.6073 Å, 90.00 90.00 120.00°
Space group R-3m (No. 166, hexagonal axes)
Inequivalent atoms, fractional coordinates:
1 Li 0.0000 0.5000 0.0000 x9
2 Sm 0.0000 0.5000 0.5000 x9
3 Ta 0.0000 0.0000 0.5000 x3
4 Se 0.0000 0.0000 0.2544 x6
5 Se 0.0296 0.5148 0.2477 x18


16.
Entry from Alexandria: a relaxed structure of Li2Tb3SmSe6 (PBE).

Computed properties:
Crystal system   monoclinic

Cell: 7.0496 12.2071 7.0707 Å, 90.00 109.48 90.00°
Space group C2/m (No. 12)
Inequivalent atoms, fractional coordinates:
1 Li 0.0000 0.1681 0.0000 x4
2 Tb 0.0000 0.0000 0.5000 x2
3 Tb 0.0000 0.3348 0.5000 x4
4 Sm 0.0000 0.5000 0.0000 x2
5 Se 0.2393 0.0000 0.2447 x4
6 Se 0.2475 0.1710 0.7547 x8


17.
Entry from Alexandria: a relaxed structure of LiTb3Sm4Se8 (PBE).

Computed properties:
Crystal system   trigonal

Cell: 8.2294 8.2294 20.2447 Å, 90.00 90.00 120.00°
Space group R-3m (No. 166, hexagonal axes)
Inequivalent atoms, fractional coordinates:
1 Li 0.0000 0.0000 0.0000 x3
2 Tb 0.0000 0.5000 0.0000 x9
3 Sm 0.0000 0.0000 0.5000 x3
4 Sm 0.0000 0.5000 0.5000 x9
5 Se 0.0000 0.0000 0.2523 x6
6 Se 0.0071 0.5036 0.7459 x18


18.
Entry from Alexandria: a relaxed structure of Li2TbSm3Se6 (PBE).

Computed properties:
Crystal system   monoclinic

Cell: 7.1034 12.3031 7.0939 Å, 90.00 109.51 90.00°
Space group C2/m (No. 12)
Inequivalent atoms, fractional coordinates:
1 Li 0.0000 0.1672 0.0000 x4
2 Tb 0.0000 0.5000 0.0000 x2
3 Sm 0.0000 0.0000 0.5000 x2
4 Sm 0.0000 0.3335 0.5000 x4
5 Se 0.2412 0.0000 0.2379 x4
6 Se 0.2481 0.3309 0.2371 x8


19.
Entry from Alexandria: a relaxed structure of LiTb2SmSe5 (PBE).

Computed properties:
Crystal system   orthorhombic

Cell: 4.0909 17.1256 12.4641 Å, 90.00 90.00 90.00°
Space group Cmc2_1 (No. 36)
Inequivalent atoms, fractional coordinates:
1 Li 0.0000 0.0115 0.0000 x4
2 Tb 0.0000 0.3771 0.8095 x4
3 Tb 0.0000 0.3913 0.2011 x4
4 Sm 0.0000 0.3053 0.5168 x4
5 Se 0.0000 0.0008 0.8034 x4
6 Se 0.0000 0.1367 0.5187 x4
7 Se 0.0000 0.1918 0.8517 x4
8 Se 0.0000 0.2121 0.1823 x4
9 Se 0.0000 0.4569 0.5947 x4


20.
Entry from Alexandria: a relaxed structure of LiTb2Sm3Se6 (PBE).

Computed properties:
Crystal system   monoclinic

Cell: 7.0946 12.3238 7.1550 Å, 90.00 109.48 90.00°
Space group C2/m (No. 12)
Inequivalent atoms, fractional coordinates:
1 Li 0.0000 0.0000 0.0000 x2
2 Tb 0.0000 0.3347 0.0000 x4
3 Sm 0.0000 0.1671 0.5000 x4
4 Sm 0.0000 0.5000 0.5000 x2
5 Se 0.2412 0.1624 0.2382 x8
6 Se 0.2440 0.0000 0.7633 x4


In order of appearance, uncorrected formation energy = -1.778, -1.733, -1.760, -1.524, -1.392, -1.723, -1.655, -0.559, -1.346, -1.005, -1.196, -0.896, -1.831, -1.870, -1.442, -1.737, -1.779, -1.738, -1.685, -1.780 eV/atom.